Entry 1:
Computed, not measured: a relaxed CsZr2Te4 crystal at the GGA-PBE level of DFT. Values from VASP.

Cell and atoms, written as Quantum ESPRESSO input:
```
&SYSTEM
  ibrav = 0, nat = 7, ntyp = 3
/
ATOMIC_SPECIES
Cs 132.91 Cs.upf
Zr 91.22 Zr.upf
Te 127.60 Te.upf
CELL_PARAMETERS angstrom
10.1320 -2.0474 0.0000
10.1320 2.0474 0.0000
-2.2636 0.0000 6.5656
ATOMIC_POSITIONS crystal
Cs 0.0000 0.0000 0.0000
Zr 0.2497 0.2497 0.2558
Zr 0.7503 0.7503 0.7442
Te 0.1561 0.1561 0.4995
Te 0.3416 0.3416 0.0038
Te 0.6584 0.6584 0.9962
Te 0.8439 0.8439 0.5005
```

Calculated values
space group = C2/m (12)
mass density = 5.03 g/cm³
DOS(E_F) = 0.4610 states/eV/atom
formation energy without anion corrections = -0.991 eV per atom
energy above the lowest structure with this stoichiometry = 0 meV per atom
VASP energy = -37.450 eV/cell
calculated volume = 38.9 A^3/atom

***

Entry 2:
Computed, not measured: a relaxed CsZrTe3 crystal at the GGA-PBE level of DFT. Values from VASP.

Cell and atoms, written as Quantum ESPRESSO input:
```
&SYSTEM
  ibrav = 0, nat = 10, ntyp = 3
/
ATOMIC_SPECIES
Cs 132.91 Cs.upf
Zr 91.22 Zr.upf
Te 127.60 Te.upf
CELL_PARAMETERS angstrom
5.6957 0.0000 0.0000
0.0000 5.6392 0.0000
-2.8218 0.0000 12.7456
ATOMIC_POSITIONS crystal
Cs 0.1683 0.2500 0.3394
Cs 0.8317 0.7500 0.6606
Zr 0.4318 0.2500 0.8623
Zr 0.5682 0.7500 0.1377
Te 0.0301 0.7500 0.0609
Te 0.3263 0.2500 0.6497
Te 0.4452 0.7500 0.8896
Te 0.5548 0.2500 0.1104
Te 0.6737 0.7500 0.3503
Te 0.9699 0.2500 0.9391
```

Calculated values
space group = P2_1/m (11)
mass density = 4.92 g/cm³
DOS(E_F) = 0.4527 states/eV/atom
formation energy without anion corrections = -0.799 eV per atom
energy above the lowest structure with this stoichiometry = 0 meV per atom
VASP energy = -45.640 eV/cell
calculated volume = 40.9 A^3/atom

***

Entry 3:
Computed, not measured: a relaxed CsTh crystal at the GGA-PBE level of DFT. Values from VASP.

Cell and atoms, written as Quantum ESPRESSO input:
```
&SYSTEM
  ibrav = 0, nat = 2, ntyp = 2
/
ATOMIC_SPECIES
Cs 132.91 Cs.upf
Th 232.04 Th.upf
CELL_PARAMETERS angstrom
1.8305 1.0569 7.5430
-1.8305 1.0569 7.5430
0.0000 -2.1137 7.5430
ATOMIC_POSITIONS crystal
Cs 0.0000 0.0000 0.0000
Th 0.5000 0.5000 0.5000
```

Calculated values
space group = R-3m (166)
mass density = 6.92 g/cm³
DOS(E_F) = 2.4060 states/eV/atom
formation enthalpy at 0 K = 0.8627 eV/atom
VASP energy = -6.548 eV/cell
calculated volume = 43.8 A^3/atom

***

Entry 4:
Computed, not measured: a relaxed CsTi4 crystal at the GGA-PBE level of DFT. Values from VASP.

Cell and atoms, written as Quantum ESPRESSO input:
```
&SYSTEM
  ibrav = 0, nat = 5, ntyp = 2
/
ATOMIC_SPECIES
Cs 132.91 Cs.upf
Ti 47.87 Ti.upf
CELL_PARAMETERS angstrom
4.9137 0.0000 0.0000
0.0000 4.9137 0.0000
0.0000 0.0000 4.9137
ATOMIC_POSITIONS crystal
Cs 0.0000 0.0000 0.0000
Ti 0.0000 0.0000 0.5000
Ti 0.0000 0.5000 0.0000
Ti 0.5000 0.0000 0.0000
Ti 0.5000 0.5000 0.5000
```

Calculated values
space group = Pm-3m (221)
mass density = 4.54 g/cm³
DOS(E_F) = 1.8775 states/eV/atom
formation enthalpy at 0 K = 2.0261 eV/atom
VASP energy = -22.303 eV/cell
calculated volume = 23.7 A^3/atom

***

Entry 5:
Computed, not measured: a relaxed Cs3TiTl crystal at the GGA-PBE level of DFT. Values from VASP.

Cell and atoms, written as Quantum ESPRESSO input:
```
&SYSTEM
  ibrav = 0, nat = 5, ntyp = 3
/
ATOMIC_SPECIES
Cs 132.91 Cs.upf
Ti 47.87 Ti.upf
Tl 204.38 Tl.upf
CELL_PARAMETERS angstrom
7.1263 0.0000 0.0000
0.0000 7.1263 0.0000
0.0000 0.0000 7.1263
ATOMIC_POSITIONS crystal
Cs 0.0000 0.0000 0.5000
Cs 0.0000 0.5000 0.0000
Cs 0.5000 0.0000 0.0000
Ti 0.0000 0.0000 0.0000
Tl 0.5000 0.5000 0.5000
```

Calculated values
space group = Pm-3m (221)
mass density = 2.99 g/cm³
DOS(E_F) = 1.4941 states/eV/atom
formation enthalpy at 0 K = 0.9175 eV/atom
VASP energy = -8.234 eV/cell
calculated volume = 72.4 A^3/atom

***

Entry 6:
Computed, not measured: a relaxed CsTiTl3 crystal at the GGA-PBE level of DFT. Values from VASP.

Cell and atoms, written as Quantum ESPRESSO input:
```
&SYSTEM
  ibrav = 0, nat = 5, ntyp = 3
/
ATOMIC_SPECIES
Cs 132.91 Cs.upf
Ti 47.87 Ti.upf
Tl 204.38 Tl.upf
CELL_PARAMETERS angstrom
5.6320 0.0000 0.0000
0.0000 5.6320 0.0000
0.0000 0.0000 5.6320
ATOMIC_POSITIONS crystal
Cs 0.0000 0.0000 0.0000
Ti 0.5000 0.5000 0.5000
Tl 0.0000 0.5000 0.5000
Tl 0.5000 0.0000 0.5000
Tl 0.5000 0.5000 0.0000
```

Calculated values
space group = Pm-3m (221)
mass density = 7.38 g/cm³
DOS(E_F) = 1.0441 states/eV/atom
energy above the lowest structure with this stoichiometry = 0 meV per atom
formation enthalpy at 0 K = 0.1606 eV/atom
VASP energy = -15.044 eV/cell
calculated volume = 35.7 A^3/atom

***

Entry 7:
Computed, not measured: a relaxed CsTiTl crystal at the GGA-PBE level of DFT. Values from VASP.

Cell and atoms, written as Quantum ESPRESSO input:
```
&SYSTEM
  ibrav = 0, nat = 6, ntyp = 3
/
ATOMIC_SPECIES
Cs 132.91 Cs.upf
Ti 47.87 Ti.upf
Tl 204.38 Tl.upf
CELL_PARAMETERS angstrom
3.4867 0.0000 0.0000
0.0007 4.5340 0.0000
0.3789 0.0377 14.0916
ATOMIC_POSITIONS crystal
Cs 0.0000 0.0000 0.0000
Cs 0.0696 0.5058 0.3573
Ti 0.0288 0.0023 0.7166
Ti 0.0372 0.5030 0.6407
Tl 0.5184 0.5016 0.8136
Tl 0.5476 0.0040 0.5436
```

Calculated values
space group = P1 (1)
mass density = 5.74 g/cm³
DOS(E_F) = 0.6803 states/eV/atom
energy above the lowest structure with this stoichiometry = 0 meV per atom
formation enthalpy at 0 K = 0.2771 eV/atom
VASP energy = -20.567 eV/cell
calculated volume = 37.1 A^3/atom

***

Entry 8:
Computed, not measured: a relaxed CsTi2Tl crystal at the GGA-PBE level of DFT. Values from VASP.

Cell and atoms, written as Quantum ESPRESSO input:
```
&SYSTEM
  ibrav = 0, nat = 4, ntyp = 3
/
ATOMIC_SPECIES
Cs 132.91 Cs.upf
Ti 47.87 Ti.upf
Tl 204.38 Tl.upf
CELL_PARAMETERS angstrom
0.0000 3.5808 3.5808
3.5808 0.0000 3.5808
3.5808 3.5808 0.0000
ATOMIC_POSITIONS crystal
Cs 0.0000 0.0000 0.0000
Ti 0.2500 0.2500 0.2500
Ti 0.7500 0.7500 0.7500
Tl 0.5000 0.5000 0.5000
```

Calculated values
space group = Fm-3m (225)
mass density = 7.83 g/cm³
DOS(E_F) = 0.2426 states/eV/atom
formation enthalpy at 0 K = 1.0405 eV/atom
VASP energy = -14.848 eV/cell
calculated volume = 23.0 A^3/atom

***

Entry 9:
Computed, not measured: a relaxed CsTiTl3 crystal at the GGA-PBE level of DFT. Values from VASP.

Cell and atoms, written as Quantum ESPRESSO input:
```
&SYSTEM
  ibrav = 0, nat = 5, ntyp = 3
/
ATOMIC_SPECIES
Cs 132.91 Cs.upf
Ti 47.87 Ti.upf
Tl 204.38 Tl.upf
CELL_PARAMETERS angstrom
6.2429 0.0000 0.0000
0.0000 6.2429 0.0000
0.0000 0.0000 6.2429
ATOMIC_POSITIONS crystal
Cs 0.0000 0.0000 0.0000
Ti 0.5000 0.5000 0.5000
Tl 0.0000 0.0000 0.5000
Tl 0.0000 0.5000 0.0000
Tl 0.5000 0.0000 0.0000
```

Calculated values
space group = Pm-3m (221)
mass density = 5.42 g/cm³
DOS(E_F) = 2.5430 states/eV/atom
energy above the lowest structure with this stoichiometry = 1419 meV per atom
formation enthalpy at 0 K = 1.5800 eV/atom
VASP energy = -7.947 eV/cell
calculated volume = 48.7 A^3/atom

***

Entry 10:
Computed, not measured: a relaxed CsTiTl crystal at the GGA-PBE level of DFT. Values from VASP.

Cell and atoms, written as Quantum ESPRESSO input:
```
&SYSTEM
  ibrav = 0, nat = 6, ntyp = 3
/
ATOMIC_SPECIES
Cs 132.91 Cs.upf
Ti 47.87 Ti.upf
Tl 204.38 Tl.upf
CELL_PARAMETERS angstrom
5.5220 0.0000 0.0000
0.0000 5.5220 0.0000
0.0000 0.0000 8.2811
ATOMIC_POSITIONS crystal
Cs 0.2500 0.2500 0.1355
Cs 0.7500 0.7500 0.8645
Ti 0.2500 0.2500 0.5674
Ti 0.7500 0.7500 0.4326
Tl 0.2500 0.7500 0.5000
Tl 0.7500 0.2500 0.5000
```

Calculated values
space group = P4/nmm (129)
mass density = 5.07 g/cm³
DOS(E_F) = 0.6078 states/eV/atom
energy above the lowest structure with this stoichiometry = 222 meV per atom
formation enthalpy at 0 K = 0.4991 eV/atom
VASP energy = -19.235 eV/cell
calculated volume = 42.1 A^3/atom

***

Entry 11:
Computed, not measured: a relaxed CsTiTl2W crystal at the GGA-PBE level of DFT. Values from VASP.

Cell and atoms, written as Quantum ESPRESSO input:
```
&SYSTEM
  ibrav = 0, nat = 5, ntyp = 4
/
ATOMIC_SPECIES
Cs 132.91 Cs.upf
Ti 47.87 Ti.upf
Tl 204.38 Tl.upf
W 183.84 W.upf
CELL_PARAMETERS angstrom
6.0961 0.0000 0.0000
0.0000 6.0961 0.0000
0.0000 0.0000 5.5165
ATOMIC_POSITIONS crystal
Cs 0.0000 0.0000 0.0000
Ti 0.5000 0.5000 0.5000
Tl 0.0000 0.5000 0.0000
Tl 0.5000 0.0000 0.0000
W 0.0000 0.0000 0.5000
```

Calculated values
space group = P4/mmm (123)
mass density = 6.26 g/cm³
DOS(E_F) = 1.1092 states/eV/atom
formation enthalpy at 0 K = 2.5660 eV/atom
VASP energy = -13.604 eV/cell
calculated volume = 41.0 A^3/atom

***

Entry 12:
Computed, not measured: a relaxed CsTi2V crystal at the GGA-PBE level of DFT. Values from VASP.

Cell and atoms, written as Quantum ESPRESSO input:
```
&SYSTEM
  ibrav = 0, nat = 8, ntyp = 3
/
ATOMIC_SPECIES
Cs 132.91 Cs.upf
Ti 47.87 Ti.upf
V 50.94 V.upf
CELL_PARAMETERS angstrom
0.0000 5.1280 5.1280
5.1280 0.0000 5.1280
5.1280 5.1280 0.0000
ATOMIC_POSITIONS crystal
Cs 0.1250 0.1250 0.1250
Cs 0.8750 0.8750 0.8750
Ti 0.0000 0.5000 0.5000
Ti 0.5000 0.0000 0.5000
Ti 0.5000 0.5000 0.0000
Ti 0.5000 0.5000 0.5000
V 0.3750 0.3750 0.3750
V 0.6250 0.6250 0.6250
```

Calculated values
space group = Fd-3m (227)
mass density = 3.44 g/cm³
DOS(E_F) = 0.2059 states/eV/atom
energy above the lowest structure with this stoichiometry = 0 meV per atom
formation enthalpy at 0 K = 1.3159 eV/atom
VASP energy = -40.997 eV/cell
calculated volume = 33.7 A^3/atom

***

Entry 13:
Computed, not measured: a relaxed CsTiV2 crystal at the GGA-PBE level of DFT. Values from VASP.

Cell and atoms, written as Quantum ESPRESSO input:
```
&SYSTEM
  ibrav = 0, nat = 8, ntyp = 3
/
ATOMIC_SPECIES
Cs 132.91 Cs.upf
Ti 47.87 Ti.upf
V 50.94 V.upf
CELL_PARAMETERS angstrom
-2.2678 2.2678 9.2822
2.2678 -2.2678 9.2822
2.2678 2.2678 -9.2822
ATOMIC_POSITIONS crystal
Cs 0.0000 0.0000 0.0000
Cs 0.7500 0.2500 0.5000
Ti 0.2500 0.7500 0.5000
Ti 0.5000 0.5000 0.0000
V 0.2751 0.6250 0.1501
V 0.3750 0.5251 0.6501
V 0.4749 0.1250 0.8499
V 0.8750 0.7249 0.3499
```

Calculated values
space group = I-42d (122)
mass density = 4.92 g/cm³
DOS(E_F) = 1.4500 states/eV/atom
formation enthalpy at 0 K = 1.7702 eV/atom
VASP energy = -39.809 eV/cell
calculated volume = 23.9 A^3/atom

***

Entry 14:
Computed, not measured: a relaxed CsTiV3 crystal at the GGA-PBE level of DFT. Values from VASP.

Cell and atoms, written as Quantum ESPRESSO input:
```
&SYSTEM
  ibrav = 0, nat = 5, ntyp = 3
/
ATOMIC_SPECIES
Cs 132.91 Cs.upf
Ti 47.87 Ti.upf
V 50.94 V.upf
CELL_PARAMETERS angstrom
4.7314 0.0000 0.0000
0.0000 4.7314 0.0000
0.0000 0.0000 4.7314
ATOMIC_POSITIONS crystal
Cs 0.0000 0.0000 0.0000
Ti 0.5000 0.5000 0.5000
V 0.0000 0.0000 0.5000
V 0.0000 0.5000 0.0000
V 0.5000 0.0000 0.0000
```

Calculated values
space group = Pm-3m (221)
mass density = 5.23 g/cm³
DOS(E_F) = 1.5354 states/eV/atom
energy above the lowest structure with this stoichiometry = 849 meV per atom
formation enthalpy at 0 K = 2.5188 eV/atom
VASP energy = -23.510 eV/cell
calculated volume = 21.2 A^3/atom